Run 1
The following is a PBE calculation of an optimized crystal structure of Ba2Tb, from OQMD via LeMat-Bulk. Values from VASP.

Geometry as Quantum ESPRESSO input:
```
&SYSTEM
  ibrav = 0, nat = 3, ntyp = 2
/
ATOMIC_SPECIES
Ba 137.33 Ba.upf
Tb 158.93 Tb.upf
ATOMIC_POSITIONS crystal
Ba 0.347 0.347 0.000
Ba 0.653 0.653 0.000
Tb 0.000 0.000 0.000
CELL_PARAMETERS angstrom
-2.104 2.104 8.276
2.104 -2.104 8.276
2.104 2.104 -8.276
```

Crystal system ... tetragonal
Size of the total moment ... 0.1 Bohr magnetons per cell

---

Run 2
The following is a PBE calculation of an optimized crystal structure of Ba2Tb, from OQMD via LeMat-Bulk. Values from VASP.

Geometry as Quantum ESPRESSO input:
```
&SYSTEM
  ibrav = 0, nat = 6, ntyp = 2
/
ATOMIC_SPECIES
Ba 137.33 Ba.upf
Tb 158.93 Tb.upf
ATOMIC_POSITIONS crystal
Ba 0.625 0.625 0.125
Ba 0.625 0.125 0.625
Ba 0.125 0.625 0.625
Ba 0.625 0.625 0.625
Tb 0.000 0.000 0.000
Tb 0.250 0.250 0.250
CELL_PARAMETERS angstrom
0.000 5.248 5.248
5.248 0.000 5.248
5.248 5.248 0.000
```

Crystal system ... cubic
Size of the total moment ... 0.0 Bohr magnetons per cell

---

Among the structures shown above, run 1 is the most stable, with the second-best lying 310 meV per atom higher.